1.
Zn6PtAu5 | PBE | optimized geometry

The structure belongs to space group Immm (No. 71); the cell edges are 4.559, 6.161 and 13.640 Å and the angles 90.00°, 90.00° and 90.00°. The inequivalent atoms are Zn at (0.000, 0.235, 0.000), Zn at (0.000, 0.257, 0.338), Pt at (0.000, 0.500, 0.500), Au at (0.000, 0.000, 0.174), Au at (0.000, 0.000, 0.500) and Au at (0.000, 0.500, 0.165).

The energy of formation comes out at -0.27 eV per atom. Its density is 13.63 g/cm³.

2.
LaDy2Pb | PBE | optimized geometry

The structure belongs to space group P4/mmm (No. 123); the cell edges are 4.981, 4.981 and 4.843 Å and the angles 90.00°, 90.00° and 90.00°. The inequivalent atoms are La at (0.000, 0.000, 0.000), Dy at (0.000, 0.500, 0.500) and Pb at (0.500, 0.500, 0.000).

The polymorph energy (0 for the lowest one) comes out at 0.032 eV per atom. The energy of formation comes out at -0.30 eV per atom. Its density is 9.27 g/cm³.

3.
La3AlH | PBE | optimized geometry

The structure belongs to space group C2/m (No. 12); the cell edges are 17.556, 3.719 and 8.978 Å and the angles 90.00°, 109.96° and 90.00°. The inequivalent atoms are La at (0.057, 0.000, 0.305), La at (0.147, 0.000, 0.943), La at (0.245, 0.000, 0.675), Al at (0.077, 0.500, 0.615) and H at (0.169, 0.000, 0.218).

The polymorph energy (0 for the lowest one) comes out at 0.000 eV per atom. Its density is 5.36 g/cm³.

4.
BaMgSc2Ru | PBE | optimized geometry

The structure belongs to space group P4/mmm (No. 123); the cell edges are 5.055, 5.055 and 5.431 Å and the angles 90.00°, 90.00° and 90.00°. The inequivalent atoms are Ba at (0.000, 0.000, 0.000), Mg at (0.500, 0.500, 0.000), Sc at (0.000, 0.500, 0.500) and Ru at (0.500, 0.500, 0.500).

The energy of formation comes out at -0.14 eV per atom. Its density is 4.22 g/cm³.

5.
SnICl6 | PBE | optimized geometry

The structure belongs to space group P-1 (No. 2); the cell edges are 6.341, 7.047 and 7.440 Å and the angles 106.97°, 109.03° and 99.31°. The inequivalent atoms are Sn at (0.000, 0.000, 0.000), I at (0.500, 0.500, 0.000), Cl at (0.072, 0.673, 0.837), Cl at (0.182, 0.163, 0.783) and Cl at (0.364, 0.114, 0.282).

The uncorrected formation energy comes out at -0.546 eV/atom. Its density is 2.64 g/cm³.

6.
TbYNp | PBE | optimized geometry

The structure belongs to space group C2/m (No. 12); the cell edges are 16.866, 3.555 and 5.874 Å and the angles 90.00°, 101.32° and 90.00°. The inequivalent atoms are Tb at (0.126, 0.000, 0.323), Y at (0.066, 0.500, 0.792) and Np at (0.238, 0.000, 0.862).

The energy of formation comes out at 0.23 eV per atom. Its density is 9.33 g/cm³.

7.
Pr4Zn | PBE | optimized geometry

The structure belongs to space group Pm-3m (No. 221); the cell edges are 5.709, 5.709 and 5.709 Å and the angles 90.00°, 90.00° and 90.00°. The inequivalent atoms are Pr at (0.000, 0.000, 0.000), Pr at (0.000, 0.500, 0.500) and Zn at (0.500, 0.500, 0.500).

The polymorph energy (0 for the lowest one) comes out at 0.295 eV per atom. The energy of formation comes out at 0.18 eV per atom. Its density is 5.61 g/cm³.

8.
HfInP2 | PBE | optimized geometry

The structure belongs to space group I-42d (No. 122); the cell edges are 6.025, 6.025 and 11.565 Å and the angles 90.00°, 90.00° and 90.00°. The inequivalent atoms are Hf at (0.000, 0.000, 0.000), In at (0.000, 0.000, 0.500) and P at (0.234, 0.250, 0.125).

The energy of formation comes out at -0.29 eV per atom. Its density is 5.62 g/cm³.

9.
Tl3TcBr | PBE | optimized geometry

The structure belongs to space group Pm-3m (No. 221); the cell edges are 5.964, 5.964 and 5.964 Å and the angles 90.00°, 90.00° and 90.00°. The inequivalent atoms are Tl at (0.000, 0.000, 0.500), Tc at (0.500, 0.500, 0.500) and Br at (0.000, 0.000, 0.000).

The polymorph energy (0 for the lowest one) comes out at 0.817 eV per atom. The uncorrected formation energy comes out at 1.036 eV/atom. Its density is 6.19 g/cm³.

10.
CsPdAuO2 | PBE | optimized geometry

The structure belongs to space group Cmme (No. 67); the cell edges are 6.804, 13.329 and 4.673 Å and the angles 90.00°, 90.00° and 90.00°. The inequivalent atoms are Cs at (0.000, 0.250, 0.221), Pd at (0.250, 0.000, 0.500), Au at (0.000, 0.000, 0.000) and O at (0.000, 0.090, 0.638).

The uncorrected formation energy comes out at -0.446 eV/atom. Its density is 7.34 g/cm³.

11.
Nb3PdSe | PBE | optimized geometry

The structure belongs to space group Pm-3m (No. 221); the cell edges are 4.879, 4.879 and 4.879 Å and the angles 90.00°, 90.00° and 90.00°. The inequivalent atoms are Nb at (0.000, 0.000, 0.500), Pd at (0.000, 0.000, 0.000) and Se at (0.500, 0.500, 0.500).

The polymorph energy (0 for the lowest one) comes out at 0.490 eV per atom. The uncorrected formation energy comes out at 1.204 eV/atom. Its density is 6.64 g/cm³.

12.
Ta2CrPt | PBE | optimized geometry

The structure belongs to space group Cmm2 (No. 35); the cell edges are 3.534, 4.270 and 8.489 Å and the angles 90.00°, 90.00° and 90.00°. The inequivalent atoms are Ta at (0.000, 0.000, 0.000), Ta at (0.000, 0.500, 0.277), Cr at (0.000, 0.000, 0.523) and Pt at (0.000, 0.500, 0.742).

The energy of formation comes out at -0.09 eV per atom. Its density is 15.79 g/cm³.